# 1
An optimized crystal structure of ThNi3P3, computed with GGA-PBE.

Geometry as POSCAR:
```
ThNi3P3
1.0
-0.882 -3.972 -0.126
2.096 -0.706 7.558
-7.453 1.716 -1.876
Th Ni P
2 6 6
Direct
0.250 0.667 0.333
0.750 0.333 0.667
0.750 0.043 0.819
0.750 0.776 0.957
0.250 0.819 0.776
0.750 0.181 0.224
0.250 0.224 0.043
0.250 0.957 0.181
0.750 0.705 0.636
0.750 0.930 0.295
0.250 0.636 0.930
0.750 0.364 0.070
0.250 0.070 0.705
0.250 0.295 0.364
```

Summary:
**Calculated formation energy**: -0.71 eV/atom
**E above lowest polymorph**: 0.000 eV per formula unit
**SG**: P6_3/m
**Magnetic moment**: 0.00 μB/atom
**VASP energy**: -6.57 eV per atom

# 2
An optimized crystal structure of TbPm2Dy5Er, computed with GGA-PBE.

Geometry as POSCAR:
```
TbPm2Dy5Er
1.0
-0.647 1.847 -8.387
-6.709 -5.359 -0.662
-1.202 7.659 6.201
Tb Pm Dy Er
2 4 10 2
Direct
0.250 0.250 0.500
0.750 0.750 0.500
0.118 0.382 0.000
0.618 0.118 0.000
0.382 0.882 0.000
0.882 0.618 0.000
0.928 0.428 0.280
0.648 0.148 0.720
0.072 0.572 0.720
0.148 0.072 0.720
0.572 0.648 0.720
0.852 0.928 0.280
0.428 0.352 0.280
0.352 0.852 0.280
0.500 0.500 0.000
0.000 0.000 0.000
0.250 0.750 0.500
0.750 0.250 0.500
```

Summary:
**Calculated formation energy**: 0.28 eV/atom
**SG**: I4/mcm
**Magnetic moment**: 0.00 μB/atom
**VASP energy**: -4.36 eV per atom

# 3
An optimized crystal structure of Cs3Ca2AgBr9, computed with GGA-PBE.

Geometry as POSCAR:
```
Cs3Ca2AgBr9
1.0
-0.357 -7.708 -2.186
6.515 4.355 -1.709
4.055 -2.655 8.696
Cs Ca Ag Br
3 2 1 9
Direct
0.333 0.667 0.660
0.000 0.000 0.000
0.667 0.333 0.340
0.333 0.667 0.169
0.667 0.333 0.831
0.000 0.000 0.500
0.835 0.165 0.660
0.835 0.671 0.660
0.329 0.165 0.660
0.671 0.835 0.340
0.165 0.329 0.340
0.165 0.835 0.340
0.500 0.000 0.000
0.000 0.500 0.000
0.500 0.500 0.000
```

Summary:
**ΔE_f (raw)**: -1.57 eV/atom
**SG**: P-3m1
**Magnetic moment**: 0.06 μB/atom
**VASP energy**: -3.20 eV per atom

# 4
An optimized crystal structure of MnPbAu4, computed with GGA-PBE.

Geometry as POSCAR:
```
MnPbAu4
1.0
1.608 3.160 4.330
-3.814 1.999 3.574
-0.290 -2.031 5.207
Mn Pb Au
1 1 4
Direct
0.750 0.750 0.750
0.000 0.000 0.000
0.376 0.873 0.376
0.873 0.376 0.376
0.376 0.376 0.873
0.376 0.376 0.376
```

Summary:
**Calculated formation energy**: 0.13 eV/atom
**E above lowest polymorph**: 1.024 eV per formula unit
**SG**: F-43m
**Magnetic moment**: 0.75 μB/atom
**VASP energy**: -4.20 eV per atom